Entry from Alexandria: a relaxed BaCr2RhO8 crystal (GGA+U).

The calculation puts the total magnetic moment at 1.00 μB per formula unit. The value obtained for the density of states at the Fermi level is 0.3452 states/eV/atom. As for the final energy: -81.4 eV/cell.

The space group is P-3 (No. 147) and the conventional cell measures 5.2289, 5.2289 and 7.5177 Å, with angles of 90.00, 90.00 and 120.00 degrees. Symmetry generates all atoms from Ba at (0.0000, 0.0000, 0.0000), Cr at (0.3333, 0.6667, 0.7304), Rh at (0.0000, 0.0000, 0.5000), O at (0.0557, 0.3279, 0.6652) and O at (0.3333, 0.6667, 0.9526).